Material: LaIr2N
Method: DFT, meta-GGA SCAN
State: single point on PBEsol structure

Calculated values
Energy relative to the elements, uncorrected, meV per atom: -210

a = 4.876 Å, b = 4.876 Å, c = 12.804 Å
α = 90.00°, β = 90.00°, γ = 90.00°
Space group I-42d (No. 122)
One atom of each set of equivalent atoms:
La  0.000  0.000  0.000 x4
Ir  0.058  0.250  0.625 x8
N  0.000  0.000  0.500 x4

---

Material: Li3La
Method: DFT, meta-GGA SCAN
State: single point on PBEsol structure

Calculated values
Energy above the lowest structure with this stoichiometry, meV/atom: 93
ΔE_f, meV/atom: 155

a = 7.828 Å, b = 7.876 Å, c = 3.285 Å
α = 90.00°, β = 90.00°, γ = 90.00°
Space group Cmmm (No. 65)
One atom of each set of equivalent atoms:
Li  0.000  0.000  0.000 x2
Li  0.250  0.250  0.500 x4
La  0.000  0.500  0.000 x2

---

Material: LaTc2Ni
Method: DFT, meta-GGA SCAN
State: single point on PBEsol structure

Calculated values
ΔE_f, meV/atom: 467

a = 3.134 Å, b = 4.335 Å, c = 4.881 Å
α = 90.00°, β = 90.00°, γ = 90.00°
Space group Pmmm (No. 47)
One atom of each set of equivalent atoms:
La  0.000  0.000  0.000 x1
Tc  0.000  0.500  0.500 x1
Tc  0.500  0.000  0.500 x1
Ni  0.500  0.500  0.000 x1

---

Material: BHOsN2
Method: DFT, meta-GGA SCAN
State: single point on PBEsol structure

Calculated values
Energy, eV per atom: -18.26

a = 3.688 Å, b = 3.688 Å, c = 2.619 Å
α = 90.00°, β = 90.00°, γ = 90.00°
Space group P4/mmm (No. 123)
One atom of each set of equivalent atoms:
B  0.000  0.000  0.000 x1
H  0.000  0.000  0.500 x1
Os  0.500  0.500  0.000 x1
N  0.000  0.500  0.500 x2